First-principles (GGA-PBE) data for a relaxed CsNa4Tl5 crystal, as listed in Alexandria via LeMat-Bulk.

abc: 4.030 4.030 19.687
angles: 90.00 90.00 90.00
Positions (direct):
Cs1 0.000 0.000 0.000
Na1 0.000 0.000 0.229
Na2 0.000 0.000 0.409
Na3 0.000 0.000 0.591
Na4 0.000 0.000 0.771
Tl1 0.500 0.500 0.144
Tl2 0.500 0.500 0.319
Tl3 0.500 0.500 0.500
Tl4 0.500 0.500 0.681
Tl5 0.500 0.500 0.856

The value obtained for the volume is 319.70 Å³/f.u. As for the magnetization: 0.0 μB per formula unit. The energy relative to the elements is -0.070 eV per atom.